# 1
Material: LiP2AuS
Method: DFT, GGA-PBEsol
State: optimized geometry

Computed properties:
**Raw formation energy**: 0.66 eV per atom
**DFT total energy**: -18.6 eV for the cell shown

Structure (CIF):
```
data_LiP2AuS
_chemical_formula_sum 'Li1 P2 Au1 S1'
_space_group_name_H-M_alt 'P 4/m m m'
_space_group_IT_number 123
_space_group_name_Hall '-P 4 2'
_cell_length_a 4.735
_cell_length_b 4.735
_cell_length_c 5.103
_cell_angle_alpha 90.00
_cell_angle_beta 90.00
_cell_angle_gamma 90.00
loop_
_atom_site_label
_atom_site_type_symbol
_atom_site_fract_x
_atom_site_fract_y
_atom_site_fract_z
Li1 Li 0.000 0.000 0.000
P1 P 0.000 0.500 0.500
Au1 Au 0.500 0.500 0.500
S1 S 0.500 0.500 0.000
```


# 2
Material: Li2PbAu
Method: DFT, GGA-PBEsol
State: optimized geometry

Computed properties:
**DFT total energy**: -13.4 eV for the cell shown
**Calculated formation energy**: -147 kJ/mol of formula units

Structure (CIF):
```
data_Li2PbAu
_chemical_formula_sum 'Li2 Pb1 Au1'
_space_group_name_H-M_alt 'P 4/m m m'
_space_group_IT_number 123
_space_group_name_Hall '-P 4 2'
_cell_length_a 3.223
_cell_length_b 3.223
_cell_length_c 6.833
_cell_angle_alpha 90.00
_cell_angle_beta 90.00
_cell_angle_gamma 90.00
loop_
_atom_site_label
_atom_site_type_symbol
_atom_site_fract_x
_atom_site_fract_y
_atom_site_fract_z
Li1 Li 0.000 0.000 0.207
Pb1 Pb 0.500 0.500 0.500
Au1 Au 0.500 0.500 0.000
```


# 3
Material: Li2Pb2Au
Method: DFT, GGA-PBEsol
State: optimized geometry

Computed properties:
**DFT total energy**: -33.9 eV for the cell shown
**Calculated formation energy**: -106 kJ/mol of formula units

Structure (CIF):
```
data_Li2Pb2Au
_chemical_formula_sum 'Li4 Pb4 Au2'
_space_group_name_H-M_alt 'P 4/m b m'
_space_group_IT_number 127
_space_group_name_Hall '-P 4 2ab'
_cell_length_a 6.816
_cell_length_b 6.816
_cell_length_c 4.307
_cell_angle_alpha 90.00
_cell_angle_beta 90.00
_cell_angle_gamma 90.00
loop_
_atom_site_label
_atom_site_type_symbol
_atom_site_fract_x
_atom_site_fract_y
_atom_site_fract_z
Li1 Li 0.142 0.358 0.000
Pb1 Pb 0.171 0.671 0.500
Au1 Au 0.000 0.000 0.000
```


# 4
Material: LiPb2Au
Method: DFT, GGA-PBEsol
State: optimized geometry

Computed properties:
**Excess energy over the best structure of this formula in the dataset**: 12 kJ/mol of formula units
**DFT total energy**: -29.1 eV for the cell shown
**Calculated formation energy**: -63 kJ/mol of formula units

Structure (CIF):
```
data_LiPb2Au
_chemical_formula_sum 'Li2 Pb4 Au2'
_space_group_name_H-M_alt 'C 1 m 1'
_space_group_IT_number 8
_space_group_name_Hall 'C -2y'
_cell_length_a 11.092
_cell_length_b 3.407
_cell_length_c 5.026
_cell_angle_alpha 90.00
_cell_angle_beta 109.66
_cell_angle_gamma 90.00
loop_
_atom_site_label
_atom_site_type_symbol
_atom_site_fract_x
_atom_site_fract_y
_atom_site_fract_z
Li1 Li 0.000 0.000 0.000
Pb1 Pb 0.236 0.000 0.810
Pb2 Pb 0.454 0.000 0.463
Au1 Au 0.189 0.500 0.271
```


# 5
Material: Li2PbAu
Method: DFT, GGA-PBEsol
State: optimized geometry

Computed properties:
**DFT total energy**: -27.0 eV for the cell shown
**Calculated formation energy**: -161 kJ/mol of formula units

Structure (CIF):
```
data_Li2PbAu
_chemical_formula_sum 'Li4 Pb2 Au2'
_space_group_name_H-M_alt 'I -4 m 2'
_space_group_IT_number 119
_space_group_name_Hall 'I -4 -2'
_cell_length_a 4.699
_cell_length_b 4.699
_cell_length_c 6.548
_cell_angle_alpha 90.00
_cell_angle_beta 90.00
_cell_angle_gamma 90.00
loop_
_atom_site_label
_atom_site_type_symbol
_atom_site_fract_x
_atom_site_fract_y
_atom_site_fract_z
Li1 Li 0.000 0.000 0.000
Li2 Li 0.000 0.500 0.250
Pb1 Pb 0.000 0.000 0.500
Au1 Au 0.000 0.500 0.750
```


# 6
Material: LiPb2Au
Method: DFT, GGA-PBEsol
State: optimized geometry

Computed properties:
**Excess energy over the best structure of this formula in the dataset**: 24 kJ/mol of formula units
**DFT total energy**: -28.8 eV for the cell shown
**Calculated formation energy**: -51 kJ/mol of formula units

Structure (CIF):
```
data_LiPb2Au
_chemical_formula_sum 'Li2 Pb4 Au2'
_space_group_name_H-M_alt 'C m m m'
_space_group_IT_number 65
_space_group_name_Hall '-C 2 2'
_cell_length_a 5.087
_cell_length_b 5.114
_cell_length_c 6.965
_cell_angle_alpha 90.00
_cell_angle_beta 90.00
_cell_angle_gamma 90.00
loop_
_atom_site_label
_atom_site_type_symbol
_atom_site_fract_x
_atom_site_fract_y
_atom_site_fract_z
Li1 Li 0.000 0.000 0.000
Pb1 Pb 0.000 0.500 0.260
Au1 Au 0.000 0.000 0.500
```


# 7
Material: LiPbAu
Method: DFT, GGA-PBEsol
State: optimized geometry

Computed properties:
**DFT total energy**: -42.6 eV for the cell shown
**Calculated formation energy**: -74 kJ/mol of formula units

Structure (CIF):
```
data_LiPbAu
_chemical_formula_sum 'Li4 Pb4 Au4'
_space_group_name_H-M_alt 'F -4 3 m'
_space_group_IT_number 216
_space_group_name_Hall 'F -4 2 3'
_cell_length_a 6.478
_cell_length_b 6.478
_cell_length_c 6.478
_cell_angle_alpha 90.00
_cell_angle_beta 90.00
_cell_angle_gamma 90.00
loop_
_atom_site_label
_atom_site_type_symbol
_atom_site_fract_x
_atom_site_fract_y
_atom_site_fract_z
Li1 Li 0.000 0.000 0.000
Pb1 Pb 0.000 0.000 0.500
Au1 Au 0.250 0.250 0.750
```


# 8
Material: LiPb2Au
Method: DFT, GGA-PBEsol
State: optimized geometry

Computed properties:
**Excess energy over the best structure of this formula in the dataset**: 3 kJ/mol of formula units
**DFT total energy**: -14.6 eV for the cell shown
**Calculated formation energy**: -72 kJ/mol of formula units

Structure (CIF):
```
data_LiPb2Au
_chemical_formula_sum 'Li1 Pb2 Au1'
_space_group_name_H-M_alt 'P 1 m 1'
_space_group_IT_number 6
_space_group_name_Hall 'P -2y'
_cell_length_a 3.762
_cell_length_b 4.405
_cell_length_c 5.724
_cell_angle_alpha 90.00
_cell_angle_beta 109.28
_cell_angle_gamma 90.00
loop_
_atom_site_label
_atom_site_type_symbol
_atom_site_fract_x
_atom_site_fract_y
_atom_site_fract_z
Li1 Li 0.000 0.000 0.000
Pb1 Pb 0.278 0.000 0.552
Pb2 Pb 0.578 0.500 0.156
Au1 Au 0.863 0.500 0.723
```


# 9
Material: LiPb2Au
Method: DFT, GGA-PBEsol
State: optimized geometry

Computed properties:
**Excess energy over the best structure of this formula in the dataset**: 0 kJ/mol of formula units
**DFT total energy**: -14.7 eV for the cell shown
**Calculated formation energy**: -75 kJ/mol of formula units

Structure (CIF):
```
data_LiPb2Au
_chemical_formula_sum 'Li1 Pb2 Au1'
_space_group_name_H-M_alt 'P 4 m m'
_space_group_IT_number 99
_space_group_name_Hall 'P 4 -2'
_cell_length_a 3.425
_cell_length_b 3.425
_cell_length_c 7.603
_cell_angle_alpha 90.00
_cell_angle_beta 90.00
_cell_angle_gamma 90.00
loop_
_atom_site_label
_atom_site_type_symbol
_atom_site_fract_x
_atom_site_fract_y
_atom_site_fract_z
Li1 Li 0.000 0.000 0.000
Pb1 Pb 0.000 0.000 0.595
Pb2 Pb 0.500 0.500 0.254
Au1 Au 0.500 0.500 0.852
```


# 10
Material: Li2PbAu
Method: DFT, GGA-PBEsol
State: optimized geometry

Computed properties:
**DFT total energy**: -26.6 eV for the cell shown
**Calculated formation energy**: -141 kJ/mol of formula units

Structure (CIF):
```
data_Li2PbAu
_chemical_formula_sum 'Li4 Pb2 Au2'
_space_group_name_H-M_alt 'C m m m'
_space_group_IT_number 65
_space_group_name_Hall '-C 2 2'
_cell_length_a 6.364
_cell_length_b 6.376
_cell_length_c 3.399
_cell_angle_alpha 90.00
_cell_angle_beta 90.00
_cell_angle_gamma 90.00
loop_
_atom_site_label
_atom_site_type_symbol
_atom_site_fract_x
_atom_site_fract_y
_atom_site_fract_z
Li1 Li 0.250 0.250 0.000
Pb1 Pb 0.000 0.000 0.500
Au1 Au 0.000 0.500 0.500
```


# 11
Material: LiPbAu
Method: DFT, GGA-PBEsol
State: optimized geometry

Computed properties:
**DFT total energy**: -21.4 eV for the cell shown
**Calculated formation energy**: -79 kJ/mol of formula units

Structure (CIF):
```
data_LiPbAu
_chemical_formula_sum 'Li2 Pb2 Au2'
_space_group_name_H-M_alt 'I m m 2'
_space_group_IT_number 44
_space_group_name_Hall 'I 2 -2'
_cell_length_a 3.650
_cell_length_b 3.714
_cell_length_c 8.698
_cell_angle_alpha 90.00
_cell_angle_beta 90.00
_cell_angle_gamma 90.00
loop_
_atom_site_label
_atom_site_type_symbol
_atom_site_fract_x
_atom_site_fract_y
_atom_site_fract_z
Li1 Li 0.000 0.000 0.000
Pb1 Pb 0.000 0.000 0.682
Au1 Au 0.000 0.000 0.348
```


# 12
Material: LiPb2Au2
Method: DFT, GGA-PBEsol
State: optimized geometry

Computed properties:
**DFT total energy**: -37.2 eV for the cell shown
**Calculated formation energy**: -78 kJ/mol of formula units

Structure (CIF):
```
data_LiPb2Au2
_chemical_formula_sum 'Li2 Pb4 Au4'
_space_group_name_H-M_alt 'P 4/m b m'
_space_group_IT_number 127
_space_group_name_Hall '-P 4 2ab'
_cell_length_a 7.515
_cell_length_b 7.515
_cell_length_c 4.007
_cell_angle_alpha 90.00
_cell_angle_beta 90.00
_cell_angle_gamma 90.00
loop_
_atom_site_label
_atom_site_type_symbol
_atom_site_fract_x
_atom_site_fract_y
_atom_site_fract_z
Li1 Li 0.000 0.000 0.000
Pb1 Pb 0.170 0.330 0.500
Au1 Au 0.135 0.635 0.000
```